A plane-wave DFT calculation with GGA-PBE was carried out for an optimized crystal structure of UMn2Ga.

Computed properties:
- Calculated total energy: -33.1 eV/cell
- Theoretical density: 11.87 Mg/m³
- Energy relative to the elements: -0.114 eV per atom
- Crystal system: tetragonal
- DOS at the Fermi energy: 3.7 states/eV/cell

Lattice parameters (Å, degrees): 4.182 4.182 3.339 90.00 90.00 90.00
Space group P4/mmm (No. 123)
One atom of each set of equivalent atoms:
U: 0.000 0.000 0.000 x1
Mn: 0.000 0.500 0.500 x2
Ga: 0.500 0.500 0.000 x1

A plane-wave DFT calculation with GGA-PBE was carried out for an optimized crystal structure of UMnGa.

Computed properties:
- Calculated total energy: -22.9 eV/cell
- Theoretical density: 11.24 Mg/m³
- Energy relative to the elements: 0.207 eV per atom
- Crystal system: trigonal
- DOS at the Fermi energy: 2.6 states/eV/cell

Lattice parameters (Å, degrees): 3.7278 3.7278 4.4509 90.00 90.00 120.00
Space group P3m1 (No. 156)
One atom of each set of equivalent atoms:
U: 0.0000 0.0000 0.0000 x1
Mn: 0.6667 0.3333 0.2211 x1
Ga: 0.3333 0.6667 0.5317 x1

A plane-wave DFT calculation with GGA-PBE was carried out for an optimized crystal structure of U2Mn3Ga2.

Computed properties:
- Calculated total energy: -115.6 eV/cell
- Theoretical density: 10.94 Mg/m³
- Energy relative to the elements: -0.235 eV per atom
- Crystal system: monoclinic
- DOS at the Fermi energy: 14.0 states/eV/cell

Lattice parameters (Å, degrees): 11.861 4.319 4.674 90.00 98.25 90.00
Space group C2/m (No. 12)
One atom of each set of equivalent atoms:
U: 0.146 0.000 0.381 x4
Mn: 0.000 0.000 0.000 x2
Mn: 0.203 0.000 0.828 x4
Ga: 0.093 0.500 0.862 x4

A plane-wave DFT calculation with GGA-PBE was carried out for an optimized crystal structure of UMn3Ga9.

Computed properties:
- Calculated total energy: -134.4 eV/cell
- Theoretical density: 8.28 Mg/m³
- Energy relative to the elements: -0.089 eV per atom
- Crystal system: monoclinic
- DOS at the Fermi energy: 26.8 states/eV/cell

Lattice parameters (Å, degrees): 5.167 12.749 6.706 90.00 110.72 90.00
Space group C2/m (No. 12)
One atom of each set of equivalent atoms:
U: 0.000 0.000 0.000 x2
Mn: 0.000 0.500 0.500 x2
Mn: 0.250 0.250 0.000 x4
Ga: 0.000 0.000 0.500 x2
Ga: 0.094 0.388 0.213 x8
Ga: 0.172 0.176 0.333 x8

A plane-wave DFT calculation with GGA-PBE was carried out for an optimized crystal structure of UMn4Ga8.

Computed properties:
- Calculated total energy: -148.4 eV/cell
- Theoretical density: 8.45 Mg/m³
- Energy relative to the elements: -0.156 eV per atom
- Crystal system: tetragonal
- DOS at the Fermi energy: 21.0 states/eV/cell

Lattice parameters (Å, degrees): 8.765 8.765 5.195 90.00 90.00 90.00
Space group I4/mmm (No. 139)
One atom of each set of equivalent atoms:
U: 0.000 0.000 0.000 x2
Mn: 0.250 0.250 0.250 x8
Ga: 0.000 0.224 0.500 x8
Ga: 0.000 0.340 0.000 x8

A plane-wave DFT calculation with GGA-PBE was carried out for an optimized crystal structure of U3Mn4Ga2.

Computed properties:
- Calculated total energy: -156.4 eV/cell
- Theoretical density: 11.87 Mg/m³
- Energy relative to the elements: -0.180 eV per atom
- Crystal system: monoclinic
- DOS at the Fermi energy: 21.4 states/eV/cell

Lattice parameters (Å, degrees): 8.174 4.351 8.441 90.00 90.71 90.00
Space group C2/m (No. 12)
One atom of each set of equivalent atoms:
U: 0.000 0.000 0.000 x2
U: 0.133 0.500 0.408 x4
Mn: 0.103 0.000 0.639 x4
Mn: 0.248 0.500 0.080 x4
Ga: 0.177 0.500 0.782 x4